1.
Density functional theory data (PBE) for a relaxed structure of Cs2RbNa4.

Lattice parameters (Å, degrees): 12.293 12.293 12.293 146.60 146.60 47.96
Positions (direct):
Cs  0.133  0.133  0.000
Cs  0.867  0.867  0.000
Rb  0.500  0.500  0.000
Na  0.000  0.500  0.500
Na  0.324  0.324  0.000
Na  0.500  0.000  0.500
Na  0.676  0.676  0.000

Results
For the energy above the most stable polymorph in this dataset, the calculation gives 171 meV/atom. The density of states at the Fermi level comes out at 0.800 states/eV per atom. The total DFT energy (no corrections) is -0.93 eV per atom. The space-group type is I4/mmm, No. 139. The energy of formation comes out at 0.208 eV/atom.

***

2.
Density functional theory data (PBE) for a relaxed structure of In2CoSb.

Lattice parameters (Å, degrees): 3.166 3.166 8.667 90.00 90.00 90.00
Positions (direct):
In  0.000  0.000  0.000
In  0.500  0.500  0.291
Co  0.500  0.500  0.799
Sb  0.000  0.000  0.630

Results
The density of states at the Fermi level comes out at 0.675 states/eV per atom. The total DFT energy (no corrections) is -4.10 eV per atom. The space-group type is P4mm, No. 99. As for the formation energy (no corrections): 0.3 eV per formula unit.

***

3.
Density functional theory data (PBE) for a relaxed structure of FeRe2Rh.

Lattice parameters (Å, degrees): 9.266 9.266 9.266 156.82 156.82 33.02
Positions (direct):
Fe  0.000  0.000  0.000
Fe  0.750  0.250  0.500
Re  0.092  0.625  0.967
Re  0.375  0.342  0.467
Re  0.658  0.125  0.033
Re  0.875  0.908  0.533
Rh  0.250  0.750  0.500
Rh  0.500  0.500  0.000

Results
For the energy above the most stable polymorph in this dataset, the calculation gives 624 meV/atom. The density of states at the Fermi level comes out at 1.098 states/eV per atom. The total DFT energy (no corrections) is -9.56 eV per atom. The space-group type is I-42d, No. 122. The energy of formation comes out at 0.615 eV/atom.

***

4.
Density functional theory data (PBE) for a relaxed structure of HoLuOsPd.

Lattice parameters (Å, degrees): 4.813 4.813 4.813 60.00 60.00 60.00
Positions (direct):
Ho  0.000  0.000  0.000
Lu  0.500  0.500  0.500
Os  0.250  0.250  0.250
Pd  0.750  0.750  0.750

Results
The density of states at the Fermi level comes out at 0.451 states/eV per atom. The total DFT energy (no corrections) is -6.99 eV per atom. The space-group type is F-43m, No. 216. The energy of formation comes out at -0.613 eV/atom.

***

5.
Density functional theory data (PBE) for a relaxed structure of RbLaN2F.

Lattice parameters (Å, degrees): 4.419 4.419 4.592 90.00 90.00 90.00
Positions (direct):
Rb  0.000  0.000  0.000
La  0.500  0.500  0.500
N  0.000  0.500  0.000
N  0.500  0.000  0.000
F  0.000  0.000  0.500

Results
For the energy above the most stable polymorph in this dataset, the calculation gives 1058 meV/atom. The density of states at the Fermi level comes out at 0.347 states/eV per atom. The total DFT energy (no corrections) is -4.48 eV per atom. The space-group type is P4/mmm, No. 123. As for the formation energy (no corrections): 2.0 eV per formula unit.

***

6.
Density functional theory data (PBE) for a relaxed structure of Zr2CdHg4.

Lattice parameters (Å, degrees): 9.828 9.828 9.828 60.00 60.00 60.00
Positions (direct):
Zr  0.125  0.792  0.792
Zr  0.208  0.208  0.208
Zr  0.208  0.208  0.875
Zr  0.208  0.875  0.208
Zr  0.792  0.125  0.792
Zr  0.792  0.792  0.125
Zr  0.792  0.792  0.792
Zr  0.875  0.208  0.208
Cd  0.000  0.500  0.500
Cd  0.500  0.000  0.500
Cd  0.500  0.500  0.000
Cd  0.500  0.500  0.500
Hg  0.000  0.000  0.000
Hg  0.000  0.000  0.500
Hg  0.000  0.500  0.000
Hg  0.145  0.145  0.605
Hg  0.145  0.605  0.145
Hg  0.145  0.605  0.605
Hg  0.395  0.395  0.855
Hg  0.395  0.855  0.395
Hg  0.395  0.855  0.855
Hg  0.500  0.000  0.000
Hg  0.605  0.145  0.145
Hg  0.605  0.145  0.605
Hg  0.605  0.605  0.145
Hg  0.855  0.395  0.395
Hg  0.855  0.395  0.855
Hg  0.855  0.855  0.395

Results
The density of states at the Fermi level comes out at 0.792 states/eV per atom. The total DFT energy (no corrections) is -2.73 eV per atom. The space-group type is Fd-3m, No. 227. The energy of formation comes out at 0.017 eV/atom.

***

- Look up the total DFT energy (no corrections) of the third one.
  -9.56 eV per atom

***

- What is the total DFT energy (no corrections) in the fifth record?
  -4.48 eV per atom

***

- Which formula does entry 1 have?
  Cs2RbNa4